Entry 1:
Pu2PaRu2 (GGA-PBE, relaxed); formation enthalpy at 0 K = -0.143 eV/atom; DOS at the Fermi energy = 30.3 states/eV per cell; final energy = -11.49 eV/atom; calculated volume = 225 Å³ per cell; SG = C2/m
1.0
11.180 0.000 0.000
0.000 3.702 0.000
-2.016 0.000 5.433
Pu Pa Ru
4 2 4
direct
0.141 0.000 0.095
0.359 0.500 0.905
0.641 0.500 0.095
0.859 0.000 0.905
0.000 0.500 0.500
0.500 0.000 0.500
0.186 0.000 0.622
0.314 0.500 0.378
0.686 0.500 0.622
0.814 0.000 0.378


Entry 2:
Pu2PaRu (GGA-PBE, relaxed); formation enthalpy at 0 K = 0.023 eV/atom; energy relative to the lowest polymorph listed for this composition = 0.094 eV per atom; DOS at the Fermi energy = 34.6 states/eV per cell; final energy = -11.84 eV/atom; calculated volume = 252 Å³ per cell; SG = R-3m
1.0
4.910 0.000 0.000
-2.455 4.252 0.000
0.000 0.000 12.085
Pu Pa Ru
6 3 3
direct
0.000 0.000 0.250
0.000 0.000 0.750
0.333 0.667 0.417
0.333 0.667 0.917
0.667 0.333 0.083
0.667 0.333 0.583
0.000 0.000 0.000
0.333 0.667 0.667
0.667 0.333 0.333
0.000 0.000 0.500
0.333 0.667 0.167
0.667 0.333 0.833


Entry 3:
PuPa3Ru (GGA-PBE, relaxed); formation enthalpy at 0 K = -0.109 eV/atom; DOS at the Fermi energy = 20.6 states/eV per cell; final energy = -10.53 eV/atom; calculated volume = 220 Å³ per cell; SG = P1
1.0
5.115 0.000 0.000
0.320 5.568 0.000
1.059 1.597 7.739
Pu Pa Ru
2 6 2
direct
0.000 0.000 0.000
0.011 0.410 0.253
0.003 0.817 0.429
0.466 0.443 0.571
0.466 0.845 0.747
0.477 0.257 0.996
0.534 0.685 0.170
0.944 0.568 0.838
0.526 0.065 0.382
0.937 0.175 0.623


Entry 4:
PuPa8Ru2 (GGA-PBE, relaxed); formation enthalpy at 0 K = -0.072 eV/atom; DOS at the Fermi energy = 19.4 states/eV per cell; final energy = -9.97 eV/atom; calculated volume = 261 Å³ per cell; SG = C2/m
1.0
6.561 -3.364 0.000
6.561 3.364 0.000
-0.721 0.000 5.915
Pu Pa Ru
1 8 2
direct
0.000 0.000 0.000
0.151 0.668 0.709
0.167 0.167 0.832
0.332 0.849 0.291
0.404 0.404 0.169
0.596 0.596 0.831
0.668 0.151 0.709
0.833 0.833 0.168
0.849 0.332 0.291
0.272 0.272 0.455
0.728 0.728 0.545


Entry 5:
Pu2Pa8Ru (GGA-PBE, relaxed); formation enthalpy at 0 K = 0.152 eV/atom; DOS at the Fermi energy = 21.3 states/eV per cell; final energy = -10.20 eV/atom; calculated volume = 273 Å³ per cell; SG = C2/m
1.0
6.277 -3.953 0.000
6.277 3.953 0.000
-0.358 0.000 5.493
Pu Pa Ru
2 8 1
direct
0.229 0.229 0.290
0.771 0.771 0.710
0.142 0.581 0.661
0.145 0.145 0.868
0.417 0.417 0.187
0.419 0.858 0.339
0.581 0.142 0.661
0.583 0.583 0.813
0.855 0.855 0.132
0.858 0.419 0.339
0.000 0.000 0.500


Entry 6:
Pu3PaRu3 (GGA-PBE, relaxed); formation enthalpy at 0 K = -0.093 eV/atom; DOS at the Fermi energy = 47.3 states/eV per cell; final energy = -11.57 eV/atom; calculated volume = 300 Å³ per cell; SG = C2/m
1.0
4.923 -4.506 0.000
4.923 4.506 0.000
-0.025 0.000 6.764
Pu Pa Ru
6 2 6
direct
0.222 0.778 0.000
0.223 0.777 0.500
0.265 0.265 0.000
0.735 0.735 0.000
0.777 0.223 0.500
0.778 0.222 0.000
0.255 0.255 0.499
0.745 0.745 0.501
0.000 0.500 0.264
0.000 0.500 0.736
0.500 0.000 0.264
0.500 0.000 0.736
0.500 0.500 0.256
0.500 0.500 0.744


Entry 7:
Pu5PaRu6 (GGA-PBE, relaxed); formation enthalpy at 0 K = -0.138 eV/atom; DOS at the Fermi energy = 37.2 states/eV per cell; final energy = -11.54 eV/atom; calculated volume = 234 Å³ per cell; SG = P2/m
1.0
4.873 0.000 0.000
0.000 6.946 0.000
-2.427 0.000 6.922
Pu Pa Ru
5 1 6
direct
0.000 0.000 0.000
0.328 0.000 0.655
0.335 0.500 0.670
0.665 0.500 0.330
0.672 0.000 0.345
0.000 0.500 0.000
0.159 0.271 0.319
0.159 0.729 0.319
0.500 0.237 0.000
0.500 0.763 0.000
0.841 0.271 0.681
0.841 0.729 0.681


Entry 8:
PuPaRu2 (GGA-PBE, relaxed); formation enthalpy at 0 K = -0.327 eV/atom; DOS at the Fermi energy = 35.0 states/eV per cell; final energy = -10.92 eV/atom; calculated volume = 327 Å³ per cell; SG = P2_1/c
1.0
8.232 0.000 0.000
0.000 5.466 0.000
-0.095 0.000 7.273
Pu Pa Ru
4 4 8
direct
0.119 0.162 0.335
0.119 0.338 0.835
0.881 0.662 0.165
0.881 0.838 0.665
0.374 0.670 0.172
0.374 0.830 0.672
0.626 0.170 0.328
0.626 0.330 0.828
0.133 0.670 0.443
0.133 0.830 0.943
0.383 0.176 0.075
0.383 0.324 0.575
0.617 0.676 0.425
0.617 0.824 0.925
0.867 0.170 0.057
0.867 0.330 0.557